[1]
## LaAl2Tc (GGA-PBE)

Data for an optimized crystal structure of LaAl2Tc.

```
4
Lattice="3.229 0.000 0.000 0.000 3.229 0.000 0.000 0.000 7.484" Properties=species:S:1:pos:R:3 pbc="T T T"
La 0.000 0.000 0.000
Al 1.614 1.614 2.416
Al 1.614 1.614 5.068
Tc 0.000 0.000 3.742
```

Output
Space group: P4/mmm (123)
Energy (eV/atom): -6.012

[2]
## LaAl2Tc2 (GGA-PBE)

Data for an optimized crystal structure of LaAl2Tc2.

```
10
Lattice="7.620 0.000 0.000 0.000 7.620 0.000 0.000 0.000 3.033" Properties=species:S:1:pos:R:3 pbc="T T T"
La 0.000 0.000 0.000
La 3.810 3.810 0.000
Al 1.022 2.788 1.517
Al 2.788 6.598 1.517
Al 4.832 1.022 1.517
Al 6.598 4.832 1.517
Tc 1.165 4.976 0.000
Tc 2.645 1.165 0.000
Tc 4.976 6.455 0.000
Tc 6.455 2.645 0.000
```

Output
Space group: P4/mbm (127)
Energy (eV/atom): -6.782

[3]
## La2AlTc (GGA-PBE)

Data for an optimized crystal structure of La2AlTc.

```
4
Lattice="3.701 0.000 0.000 0.000 3.712 0.000 0.000 0.000 7.283" Properties=species:S:1:pos:R:3 pbc="T T T"
La 0.000 0.000 1.690
La 0.000 0.000 5.593
Al 1.850 1.856 3.642
Tc 1.850 1.856 0.000
```

Output
Space group: Pmmm (47)
Energy (eV/atom): -5.981

[4]
## La2AlTc (GGA-PBE)

Data for an optimized crystal structure of La2AlTc.

```
4
Lattice="1.839 1.062 9.198 -1.839 1.062 9.198 0.000 -2.123 9.198" Properties=species:S:1:pos:R:3 pbc="T T T"
La 0.000 0.000 6.646
La 0.000 0.000 20.947
Al 0.000 0.000 0.000
Tc 0.000 0.000 13.796
```

Output
Space group: R-3m (166)
Energy (eV/atom): -5.732

[5]
## La2Al3Tc (GGA-PBE)

Data for an optimized crystal structure of La2Al3Tc.

```
6
Lattice="2.839 1.639 4.577 -2.839 1.639 4.577 0.000 -3.278 4.577" Properties=species:S:1:pos:R:3 pbc="T T T"
La 0.000 0.000 1.755
La 0.000 0.000 11.977
Al -1.419 -0.819 4.577
Al -1.419 0.819 9.154
Al 0.000 1.639 4.577
Tc 0.000 0.000 6.866
```

Output
Space group: R-3m (166)
Energy (eV/atom): -5.615

[6]
## La2AlTc (GGA-PBE)

Data for an optimized crystal structure of La2AlTc.

```
8
Lattice="-4.203 4.203 2.959 4.203 -4.203 2.959 4.203 4.203 -2.959" Properties=species:S:1:pos:R:3 pbc="T T T"
La 2.102 1.557 -0.740
La 2.647 -2.102 3.699
La 2.102 2.647 2.219
La 1.557 6.305 0.740
Al 4.203 0.000 1.479
Al 0.000 0.000 2.959
Tc 0.000 0.000 0.000
Tc 0.000 4.203 1.479
```

Output
Space group: I-42d (122)
Energy (eV/atom): -5.787

[7]
## LaAl4Tc (GGA-PBE)

Data for an optimized crystal structure of LaAl4Tc.

```
6
Lattice="0.000 3.811 3.811 3.811 0.000 3.811 3.811 3.811 0.000" Properties=species:S:1:pos:R:3 pbc="T T T"
La 0.000 0.000 0.000
Al 2.862 2.862 2.862
Al 4.760 4.760 2.862
Al 4.760 2.862 4.760
Al 2.862 4.760 4.760
Tc 5.717 5.717 5.717
```

Output
Space group: F-43m (216)
Energy (eV/atom): -5.096

[8]
## LaAl11Tc (GGA-PBE)

Data for an optimized crystal structure of LaAl11Tc.

```
13
Lattice="2.658 -6.389 0.000 2.658 6.389 0.000 -2.581 0.000 6.690" Properties=species:S:1:pos:R:3 pbc="T T T"
La 0.000 0.000 0.000
Al -1.291 0.000 3.345
Al 1.329 3.194 0.000
Al 0.095 2.217 2.416
Al 0.084 1.399 5.174
Al 0.095 -2.217 2.416
Al 2.651 1.399 1.516
Al 1.329 -3.194 0.000
Al 0.084 -1.399 5.174
Al 2.640 2.217 4.274
Al 2.651 -1.399 1.516
Al 2.640 -2.217 4.274
Tc 1.367 0.000 3.345
```

Output
Space group: C2/m (12)
Energy (eV/atom): -4.613

[9]
## La8Al2Tc (GGA-PBE)

Data for an optimized crystal structure of La8Al2Tc.

```
11
Lattice="9.232 -2.757 0.000 9.232 2.757 0.000 -2.554 0.000 6.582" Properties=species:S:1:pos:R:3 pbc="T T T"
La -0.605 0.000 1.849
La 1.902 0.000 4.990
La 4.985 0.000 3.790
La 7.262 0.000 0.604
La 8.649 0.000 5.978
La 10.926 0.000 2.792
La 14.009 0.000 1.592
La 16.516 0.000 4.733
Al 2.789 0.000 1.246
Al 13.123 0.000 5.336
Tc 7.956 0.000 3.291
```

Output
Space group: C2/m (12)
Energy (eV/atom): -5.339

[10]
## LaAl2Tc (GGA-PBE)

Data for an optimized crystal structure of LaAl2Tc.

```
4
Lattice="0.000 3.396 3.396 3.396 0.000 3.396 3.396 3.396 0.000" Properties=species:S:1:pos:R:3 pbc="T T T"
La 0.000 0.000 0.000
Al 1.698 1.698 1.698
Al 5.094 5.094 5.094
Tc 3.396 3.396 3.396
```

Output
Space group: Fm-3m (225)
Energy (eV/atom): -5.703

[11]
## La2AlTc (GGA-PBE)

Data for an optimized crystal structure of La2AlTc.

```
4
Lattice="3.524 0.000 0.000 0.000 3.524 0.000 0.000 0.000 8.370" Properties=species:S:1:pos:R:3 pbc="T T T"
La 0.000 0.000 0.000
La 1.762 1.762 3.415
Al 1.762 1.762 6.440
Tc 0.000 0.000 5.606
```

Output
Space group: P4mm (99)
Energy (eV/atom): -6.096

[12]
## La2AlTc (GGA-PBE)

Data for an optimized crystal structure of La2AlTc.

```
4
Lattice="4.315 0.000 0.000 0.000 2.173 5.727 0.000 -2.173 5.727" Properties=species:S:1:pos:R:3 pbc="T T T"
La 0.000 0.000 0.000
La 2.158 0.000 3.144
Al 2.158 0.000 6.605
Tc 0.000 0.000 7.981
```

Output
Space group: Amm2 (38)
Energy (eV/atom): -6.096

[13]
## La2AlTc2 (GGA-PBE)

Data for an optimized crystal structure of La2AlTc2.

```
10
Lattice="6.964 0.000 0.000 0.000 6.964 0.000 0.000 0.000 4.763" Properties=species:S:1:pos:R:3 pbc="T T T"
La 1.280 2.202 0.000
La 2.202 5.685 0.000
La 4.762 1.280 0.000
La 5.685 4.762 0.000
Al 0.000 0.000 2.381
Al 3.482 3.482 2.381
Tc 0.817 4.299 2.381
Tc 2.665 0.817 2.381
Tc 4.299 6.147 2.381
Tc 6.147 2.665 2.381
```

Output
Space group: P4/mbm (127)
Energy (eV/atom): -6.922

[14]
## LaAl2Tc (GGA-PBE)

Data for an optimized crystal structure of LaAl2Tc.

```
4
Lattice="3.392 0.000 0.000 0.000 3.392 0.000 0.000 0.000 7.094" Properties=species:S:1:pos:R:3 pbc="T T T"
La 0.000 0.000 0.000
Al 0.000 0.000 3.086
Al 1.696 1.696 4.614
Tc 1.696 1.696 2.031
```

Output
Space group: P4mm (99)
Energy (eV/atom): -5.832

[15]
## La2AlTc (GGA-PBE)

Data for an optimized crystal structure of La2AlTc.

```
4
Lattice="-2.508 2.508 3.562 2.508 -2.508 3.562 2.508 2.508 -3.562" Properties=species:S:1:pos:R:3 pbc="T T T"
La 0.000 0.000 0.000
La 0.000 2.508 1.781
Al 0.000 0.000 3.562
Tc 2.508 0.000 1.781
```

Output
Space group: I-4m2 (119)
Energy (eV/atom): -5.932

[16]
## LaAlTc3 (GGA-PBE)

Data for an optimized crystal structure of LaAlTc3.

```
5
Lattice="4.776 0.000 0.000 0.000 4.776 0.000 0.000 0.000 4.776" Properties=species:S:1:pos:R:3 pbc="T T T"
La 0.000 0.000 0.000
Al 2.388 2.388 2.388
Tc 0.000 0.000 2.388
Tc 0.000 2.388 0.000
Tc 2.388 0.000 0.000
```

Output
Space group: Pm-3m (221)
Energy (eV/atom): -5.846

[17]
## LaAl2Tc (GGA-PBE)

Data for an optimized crystal structure of LaAl2Tc.

```
4
Lattice="2.732 -4.037 0.000 2.732 4.037 0.000 0.000 0.000 3.586" Properties=species:S:1:pos:R:3 pbc="T T T"
La 0.000 0.000 0.000
Al 1.366 2.018 1.793
Al 1.366 -2.018 1.793
Tc 2.732 0.000 0.000
```

Output
Space group: Cmmm (65)
Energy (eV/atom): -5.560

[18]
## LaAl2Tc (GGA-PBE)

Data for an optimized crystal structure of LaAl2Tc.

```
4
Lattice="4.063 0.000 0.000 0.000 4.063 0.000 0.000 0.000 4.795" Properties=species:S:1:pos:R:3 pbc="T T T"
La 0.000 0.000 0.000
Al 0.000 2.031 2.397
Al 2.031 0.000 2.397
Tc 2.031 2.031 0.000
```

Output
Space group: P4/mmm (123)
Energy (eV/atom): -5.614

[19]
## La2AlTc (GGA-PBE)

Data for an optimized crystal structure of La2AlTc.

```
4
Lattice="1.872 1.081 8.903 -1.872 1.081 8.903 0.000 -2.162 8.903" Properties=species:S:1:pos:R:3 pbc="T T T"
La 0.000 0.000 0.000
La 0.000 0.000 5.510
Al 0.000 0.000 12.145
Tc 0.000 0.000 19.795
```

Output
Space group: R3m (160)
Energy (eV/atom): -5.853

[20]
## LaAl2Tc (GGA-PBE)

Data for an optimized crystal structure of LaAl2Tc.

```
4
Lattice="1.549 0.894 9.570 -1.549 0.894 9.570 0.000 -1.788 9.570" Properties=species:S:1:pos:R:3 pbc="T T T"
La 0.000 0.000 0.000
Al 0.000 0.000 6.681
Al 0.000 0.000 22.028
Tc 0.000 0.000 14.354
```

Output
Space group: R-3m (166)
Energy (eV/atom): -5.653

[21]
## LaAl2Tc (GGA-PBE)

Data for an optimized crystal structure of LaAl2Tc.

```
8
Lattice="-2.447 2.447 8.571 2.447 -2.447 8.571 2.447 2.447 -8.571" Properties=species:S:1:pos:R:3 pbc="T T T"
La 0.000 0.000 0.000
La 0.000 2.447 4.285
Al 1.224 -0.111 6.428
Al 2.337 1.224 2.143
Al 1.224 2.558 -2.143
Al 0.111 1.224 10.713
Tc 2.447 0.000 4.285
Tc 0.000 0.000 8.571
```

Output
Space group: I-42d (122)
Energy (eV/atom): -5.514

[22]
## LaAl2Tc2 (GGA-PBE)

Data for an optimized crystal structure of LaAl2Tc2.

```
10
Lattice="7.976 0.000 0.000 0.000 7.976 0.000 0.000 0.000 2.810" Properties=species:S:1:pos:R:3 pbc="T T T"
La 0.000 0.000 0.000
La 3.988 3.988 0.000
Al 1.093 2.895 0.000
Al 2.895 6.884 0.000
Al 5.081 1.093 0.000
Al 6.884 5.081 0.000
Tc 1.194 5.182 1.405
Tc 2.794 1.194 1.405
Tc 5.182 6.782 1.405
Tc 6.782 2.794 1.405
```

Output
Space group: P4/mbm (127)
Energy (eV/atom): -6.727

[23]
## LaAl2Tc (GGA-PBE)

Data for an optimized crystal structure of LaAl2Tc.

```
4
Lattice="0.000 3.378 3.378 3.378 0.000 3.378 3.378 3.378 0.000" Properties=species:S:1:pos:R:3 pbc="T T T"
La 0.000 0.000 0.000
Al 1.689 1.689 1.689
Al 3.378 3.378 3.378
Tc 5.067 5.067 5.067
```

Output
Space group: F-43m (216)
Energy (eV/atom): -5.632

[24]
## LaAl2Tc (GGA-PBE)

Data for an optimized crystal structure of LaAl2Tc.

```
4
Lattice="3.134 0.000 0.000 0.000 3.990 0.000 -0.919 0.000 6.617" Properties=species:S:1:pos:R:3 pbc="T T T"
La 0.000 0.000 0.000
Al 0.691 0.000 2.943
Al 0.617 1.995 4.558
Tc 2.204 1.995 2.307
```

Output
Space group: Pm (6)
Energy (eV/atom): -5.777

[25]
## La2AlTc (GGA-PBE)

Data for an optimized crystal structure of La2AlTc.

```
4
Lattice="5.086 0.000 0.000 0.000 5.086 0.000 0.000 0.000 3.829" Properties=species:S:1:pos:R:3 pbc="T T T"
La 0.000 2.543 0.000
La 2.543 0.000 0.000
Al 0.000 0.000 1.915
Tc 2.543 2.543 1.915
```

Output
Space group: P4/mmm (123)
Energy (eV/atom): -5.946

[26]
## La2AlTlTc (GGA-PBE)

Data for an optimized crystal structure of La2AlTlTc.

```
5
Lattice="5.394 0.000 0.000 0.000 5.394 0.000 0.000 0.000 4.986" Properties=species:S:1:pos:R:3 pbc="T T T"
La 0.000 2.697 0.000
La 2.697 0.000 0.000
Al 0.000 0.000 2.493
Tl 2.697 2.697 2.493
Tc 0.000 0.000 0.000
```

Output
Space group: P4/mmm (123)
Energy (eV/atom): -5.415

[27]
## LaYAl2Tc (GGA-PBE)

Data for an optimized crystal structure of LaYAl2Tc.

```
5
Lattice="5.256 0.000 0.000 0.000 5.256 0.000 0.000 0.000 5.460" Properties=species:S:1:pos:R:3 pbc="T T T"
La 0.000 0.000 0.000
Y 0.000 0.000 2.730
Al 0.000 2.628 0.000
Al 2.628 0.000 0.000
Tc 2.628 2.628 2.730
```

Output
Space group: P4/mmm (123)
Energy (eV/atom): -3.862

[28]
## LaAl2Te (GGA-PBE)

Data for an optimized crystal structure of LaAl2Te.

```
4
Lattice="3.859 0.000 0.000 0.000 3.859 0.000 0.000 0.000 6.697" Properties=species:S:1:pos:R:3 pbc="T T T"
La 0.000 0.000 0.000
Al 1.930 1.930 1.952
Al 1.930 1.930 4.745
Te 0.000 0.000 3.349
```

Output
Space group: P4/mmm (123)
Energy (eV/atom): -4.156
E_form (uncorrected) (eV/atom): -0.27

Table of ρ (g/cm³), in record order: 6.2, 7.3, 6.7, 6.2, 5.9, 6.4, 5.2, 3.9, 6.3, 6.2, 6.4, 6.2, 7.2, 5.9, 7.5, 7.0, 6.1, 6.1, 6.2, 6.1, 4.7, 7.2, 6.3, 5.8, 6.8, 6.9, 4.2, 5.3